Material: BeRuCl2
Method: DFT, GGA-PBE
State: optimized geometry

Calculated values
Energy above the lowest structure with this stoichiometry, eV per atom: 0.000
DFT total energy, eV per cell: -17.64
Energy relative to the elements, uncorrected, eV/atom: -0.24

```
BeRuCl2
1.0
3.334 0.000 0.000
0.000 2.974 0.000
-0.789 0.000 7.560
Be Ru Cl
1 1 2
Direct
0.000 0.000 0.000
0.520 0.500 0.124
0.223 0.500 0.823
0.622 0.000 0.363
```